Compound: Li2TiCo3O8
Source: Alexandria via LeMat-Bulk
Functional: PBE+U
Structure: optimized geometry

Cell lengths 5.7308, 5.7308, 5.7308 Å; angles 60.42, 60.42, 60.42 degrees
Fractional positions:
1 Li 0.1228 0.1228 0.1228
2 Li 0.8772 0.8772 0.8772
3 Ti 0.5000 0.5000 0.5000
4 Co 0.0000 0.5000 0.5000
5 Co 0.5000 0.0000 0.5000
6 Co 0.5000 0.5000 0.0000
7 O 0.2582 0.2582 0.7116
8 O 0.2582 0.7116 0.2582
9 O 0.2636 0.2636 0.2636
10 O 0.2884 0.7418 0.7418
11 O 0.7116 0.2582 0.2582
12 O 0.7364 0.7364 0.7364
13 O 0.7418 0.2884 0.7418
14 O 0.7418 0.7418 0.2884

The energy above the most stable polymorph in this dataset comes out at 0 meV per atom. Its density of states at the Fermi level is 2.33 states/eV per cell. The space group is R-3m, No. 166.